First-principles (PBE-GGA) data for crystalline TaNb2I at its relaxed geometry, as listed in the Alexandria database.

Values from the calculation:
- space-group type = I-42d, No. 122
- ΔE to the lowest computed polymorph (meV per atom) = 314
- calculated density (Mg/m³) = 9.79
- calculated total energy (eV per atom) = -7.4043
- total moment (μB/cell) = 0.00

abc: 4.117 4.117 10.301
angles: 78.47 78.47 90.00
Fractional positions:
I 0.500 0.500 0.000
I 0.250 0.750 0.500
Nb 0.621 0.125 0.250
Nb 0.129 0.625 0.250
Nb 0.375 0.379 0.750
Nb 0.875 0.871 0.750
Ta 0.000 0.000 0.000
Ta 0.750 0.250 0.500